Record 1
Here is a PBEsol-optimized structure of Ba3NaP from Alexandria. Energies are from meta-GGA SCAN.

Properties
energy of formation from the pure elements	-2.80	eV per formula unit
SG	Pm-3m
M_tot	1.23	μB/f.u.
VASP energy	-27.2127	eV per atom
crystal system	cubic
DOS(E_F)	0.69	states/eV per atom

Unit cell a=6.300 b=6.300 c=6.300 alpha=90.00 beta=90.00 gamma=90.00
Element x y z (fractional)
1 Ba 0.000 0.000 0.500
2 Ba 0.000 0.500 0.000
3 Ba 0.500 0.000 0.000
4 Na 0.500 0.500 0.500
5 P 0.000 0.000 0.000

***

Record 2
Here is a PBEsol-optimized structure of Ba3NaPb from Alexandria. Energies are from meta-GGA SCAN.

Properties
energy of formation from the pure elements	1.14	eV per formula unit
SG	Pm-3m
M_tot	0.00	μB/f.u.
VASP energy	-39.5010	eV per atom
crystal system	cubic
DOS(E_F)	0.69	states/eV per atom

Unit cell a=6.263 b=6.263 c=6.263 alpha=90.00 beta=90.00 gamma=90.00
Element x y z (fractional)
1 Ba 0.000 0.000 0.500
2 Ba 0.000 0.500 0.000
3 Ba 0.500 0.000 0.000
4 Na 0.000 0.000 0.000
5 Pb 0.500 0.500 0.500

***

Record 3
Here is a PBEsol-optimized structure of Ba3NaPd from Alexandria. Energies are from meta-GGA SCAN.

Properties
energy of formation from the pure elements	-1.40	eV per formula unit
SG	Pm-3m
M_tot	0.02	μB/f.u.
VASP energy	-31.4072	eV per atom
crystal system	cubic
DOS(E_F)	0.64	states/eV per atom

Unit cell a=6.227 b=6.227 c=6.227 alpha=90.00 beta=90.00 gamma=90.00
Element x y z (fractional)
1 Ba 0.000 0.000 0.500
2 Ba 0.000 0.500 0.000
3 Ba 0.500 0.000 0.000
4 Na 0.500 0.500 0.500
5 Pd 0.000 0.000 0.000

***

Record 4
Here is a PBEsol-optimized structure of Ba2NaPd2 from Alexandria. Energies are from meta-GGA SCAN.

Properties
energy of formation from the pure elements	-1.94	eV per formula unit
SG	P4/mbm
M_tot	0.63	μB/f.u.
VASP energy	-30.1601	eV per atom
crystal system	tetragonal
DOS(E_F)	0.56	states/eV per atom

Unit cell a=8.326 b=8.326 c=4.339 alpha=90.00 beta=90.00 gamma=90.00
Element x y z (fractional)
1 Ba 0.170 0.330 0.000
2 Ba 0.330 0.830 0.000
3 Ba 0.670 0.170 0.000
4 Ba 0.830 0.670 0.000
5 Na 0.000 0.000 0.500
6 Na 0.500 0.500 0.500
7 Pd 0.118 0.618 0.500
8 Pd 0.382 0.118 0.500
9 Pd 0.618 0.882 0.500
10 Pd 0.882 0.382 0.500

***

Record 5
Here is a PBEsol-optimized structure of BaNaSrPd2 from Alexandria. Energies are from meta-GGA SCAN.

Properties
energy of formation from the pure elements	1.03	eV per formula unit
SG	P4/mmm
M_tot	0.00	μB/f.u.
VASP energy	-26.1116	eV per atom
crystal system	tetragonal
DOS(E_F)	0.43	states/eV per atom

Unit cell a=5.244 b=5.244 c=5.072 alpha=90.00 beta=90.00 gamma=90.00
Element x y z (fractional)
1 Ba 0.000 0.000 0.000
2 Na 0.500 0.500 0.500
3 Sr 0.500 0.500 0.000
4 Pd 0.000 0.500 0.500
5 Pd 0.500 0.000 0.500

***

Record 6
Here is a PBEsol-optimized structure of Ba2NaPt2 from Alexandria. Energies are from meta-GGA SCAN.

Properties
energy of formation from the pure elements	-3.07	eV per formula unit
SG	P4/mbm
M_tot	0.00	μB/f.u.
VASP energy	-45.3550	eV per atom
crystal system	tetragonal
DOS(E_F)	0.48	states/eV per atom

Unit cell a=8.209 b=8.209 c=4.334 alpha=90.00 beta=90.00 gamma=90.00
Element x y z (fractional)
1 Ba 0.171 0.329 0.000
2 Ba 0.329 0.829 0.000
3 Ba 0.671 0.171 0.000
4 Ba 0.829 0.671 0.000
5 Na 0.000 0.000 0.500
6 Na 0.500 0.500 0.500
7 Pt 0.118 0.618 0.500
8 Pt 0.382 0.118 0.500
9 Pt 0.618 0.882 0.500
10 Pt 0.882 0.382 0.500

***

Record 7
Here is a PBEsol-optimized structure of BaNa2Pt2 from Alexandria. Energies are from meta-GGA SCAN.

Properties
energy of formation from the pure elements	-2.20	eV per formula unit
SG	I4/mmm
M_tot	0.00	μB/f.u.
VASP energy	-38.1128	eV per atom
crystal system	tetragonal
DOS(E_F)	0.16	states/eV per atom

Unit cell a=7.221 b=7.221 c=7.221 alpha=144.89 beta=144.89 gamma=50.50
Element x y z (fractional)
1 Ba 0.000 0.000 0.000
2 Na 0.250 0.750 0.500
3 Na 0.750 0.250 0.500
4 Pt 0.401 0.401 0.000
5 Pt 0.599 0.599 0.000

***

Record 8
Here is a PBEsol-optimized structure of RbBaNa2 from Alexandria. Energies are from meta-GGA SCAN.

Properties
energy of formation from the pure elements	0.25	eV per formula unit
SG	Fm-3m
M_tot	0.01	μB/f.u.
VASP energy	-17.1182	eV per atom
crystal system	cubic
DOS(E_F)	0.62	states/eV per atom

Unit cell a=6.673 b=6.673 c=6.673 alpha=60.00 beta=60.00 gamma=60.00
Element x y z (fractional)
1 Rb 0.000 0.000 0.000
2 Ba 0.500 0.500 0.500
3 Na 0.250 0.250 0.250
4 Na 0.750 0.750 0.750